This record from Alexandria via LeMat-Bulk describes a relaxed structure of Sr3In2Sn. The functional is PBE.

a = 3.941 Å, b = 5.798 Å, c = 9.292 Å
α = 108.18°, β = 90.00°, γ = 90.00°
Fractional coordinates of all 6 atoms:
1 In 0.000 0.322 0.643
2 Sr 0.500 0.500 0.000
3 In 0.000 0.678 0.357
4 Sr 0.500 0.839 0.678
5 Sr 0.500 0.161 0.322
6 Sn 0.000 0.000 0.000

Results
E_tot	-2.9119	eV/atom
theoretical density	5.03	Mg/m³